VASP calculation (GGA-PBE) on a geometry-optimized Pr3NiSn3Pt2 structure.

Cell: 7.671 7.671 4.090 Å, 90.00 90.00 120.00°
Positions (direct):
Pr1 0.409 0.409 0.000
Pr2 0.000 0.591 0.000
Pr3 0.591 0.000 0.000
Pt1 0.333 0.667 0.500
Pt2 0.667 0.333 0.500
Sn1 0.242 0.000 0.500
Sn2 0.000 0.242 0.500
Sn3 0.758 0.758 0.500
Ni1 0.000 0.000 0.000

## Properties
Magnetic moment ... 0.0 μB/cell
Space-group type ... P-62m, No. 189
DFT total energy ... -52.30 eV/f.u.

=====

VASP calculation (GGA-PBE) on a geometry-optimized RbPrNi structure.

Cell: 5.080 5.080 5.080 Å, 60.00 60.00 60.00°
Positions (direct):
Pr1 0.000 0.000 0.000
Ni1 0.250 0.250 0.250
Rb1 0.750 0.750 0.750

## Properties
Magnetic moment ... 0.0 μB/cell
Space-group type ... F-43m, No. 216
DFT total energy ... -8.57 eV/f.u.